--- one ---
Nd2SmEr9: relaxed, GGA-PBE.

```
12
Lattice="11.216 0.000 0.000 -5.608 9.714 0.000 0.000 0.000 3.500" Properties=species:S:1:pos:R:3 pbc="T T T"
Nd 0.000 6.476 0.000
Nd 5.608 3.238 0.000
Sm 0.000 0.000 0.000
Er -2.804 4.857 0.000
Er 0.000 3.405 1.750
Er -2.660 8.011 1.750
Er 2.949 1.702 1.750
Er 5.608 0.000 0.000
Er 2.804 4.857 0.000
Er 2.660 8.011 1.750
Er 8.268 1.702 1.750
Er 5.608 6.309 1.750
```

Properties
The symmetry is P6/mmm. The volume is 381.32 Å³/f.u.


--- two ---
Nd2SmEr9: relaxed, GGA-PBE.

```
12
Lattice="5.013 0.000 0.000 0.000 5.013 0.000 0.000 0.000 15.034" Properties=species:S:1:pos:R:3 pbc="T T T"
Nd 0.000 0.000 2.509
Nd 0.000 0.000 12.525
Sm 0.000 0.000 7.517
Er 0.000 2.506 0.000
Er 0.000 2.506 5.022
Er 0.000 2.506 10.012
Er 2.506 0.000 0.000
Er 2.506 0.000 5.022
Er 2.506 0.000 10.012
Er 2.506 2.506 2.513
Er 2.506 2.506 7.517
Er 2.506 2.506 12.521
```

Properties
The symmetry is P4/mmm. The volume is 377.80 Å³/f.u.


Of them, two has the highest stability.


--- one ---
NdSm3Er5: relaxed, GGA-PBE.

```
18
Lattice="10.301 -3.040 0.000 10.301 3.040 0.000 -6.183 0.000 9.527" Properties=species:S:1:pos:R:3 pbc="T T T"
Nd 5.664 2.498 7.145
Nd 8.756 -2.498 2.382
Sm 0.000 0.000 0.000
Sm -3.092 0.000 4.763
Sm 2.455 1.653 6.319
Sm 8.872 1.653 7.972
Sm 5.547 -1.653 1.555
Sm 11.964 -1.653 3.208
Er 0.609 1.767 9.303
Er 5.135 1.185 3.377
Er 10.719 1.767 4.987
Er 8.756 0.467 2.382
Er 12.376 1.185 1.386
Er 2.043 -1.185 8.140
Er 5.664 -0.467 7.145
Er 3.700 -1.767 4.539
Er 9.285 -1.185 6.150
Er 13.811 -1.767 0.224
```

Properties
The symmetry is C2/c. The volume is 298.35 Å³/f.u.


--- two ---
NdSm3Er5: relaxed, GGA-PBE.

```
18
Lattice="7.645 -5.648 0.000 7.645 5.648 0.000 -6.488 0.000 7.575" Properties=species:S:1:pos:R:3 pbc="T T T"
Nd 1.155 0.000 3.068
Nd 7.648 0.000 4.507
Sm 0.000 0.000 0.000
Sm -2.007 0.000 2.755
Sm 6.279 0.000 1.452
Sm 4.401 0.000 3.788
Sm 2.524 0.000 6.123
Sm 10.810 0.000 4.820
Er 3.705 2.835 1.878
Er 3.172 0.000 0.305
Er 7.645 2.713 0.000
Er -0.723 0.000 5.888
Er 5.098 2.835 5.697
Er 3.705 -2.835 1.878
Er 9.526 0.000 1.687
Er 7.645 -2.713 0.000
Er 5.631 0.000 7.270
Er 5.098 -2.835 5.697
```

Properties
The symmetry is C2/m. The volume is 327.08 Å³/f.u.


Of them, one has the highest stability.


--- one ---
NdSm5Er: relaxed, GGA-PBE.

```
7
Lattice="6.308 0.000 0.000 -2.446 5.817 0.000 -1.130 -1.689 6.677" Properties=species:S:1:pos:R:3 pbc="T T T"
Nd 0.000 0.000 0.000
Sm -1.550 1.774 5.117
Sm 0.504 4.865 1.562
Sm 1.366 2.064 3.339
Sm 2.228 -0.736 5.115
Sm 4.282 2.354 1.560
Er -0.565 -0.844 3.339
```

Properties
The symmetry is P-1. The volume is 244.99 Å³/f.u.


--- two ---
NdSm5Er: relaxed, GGA-PBE.

```
7
Lattice="-4.006 5.883 3.122 4.006 -5.883 3.122 4.006 5.883 -3.122" Properties=species:S:1:pos:R:3 pbc="T T T"
Nd 0.000 0.000 0.000
Sm 4.006 -2.912 3.073
Sm 2.565 5.883 -0.014
Sm 1.441 0.000 3.108
Sm 4.006 2.912 3.073
Sm 0.000 5.883 1.635
Er 4.006 0.000 1.467
```

Properties
The symmetry is Imm2. The volume is 294.37 Å³/f.u.


Of them, one has the highest stability.